1.
# Y3Al4Cu, optimized geometry, DFT PBE
data_Y3Al4Cu
_space_group_name_H-M_alt 'P m m n'
_space_group_IT_number 59
_cell_length_a 5.5828
_cell_length_b 10.7271
_cell_length_c 5.9074
_cell_angle_alpha 90.00
_cell_angle_beta 90.00
_cell_angle_gamma 90.00
loop_
_space_group_symop_operation_xyz
'x,y,z'
'-x,-y,-z'
'-x+1/2,-y+1/2,z'
'x+1/2,y+1/2,-z'
'x+1/2,-y,-z'
'-x+1/2,y,z'
'-x,y+1/2,-z'
'x,-y+1/2,z'
loop_
_atom_site_label
_atom_site_type_symbol
_atom_site_fract_x
_atom_site_fract_y
_atom_site_fract_z
_atom_site_occupancy
Y1 Y 0.2500 0.0067 0.1744 1
Y2 Y 0.2500 0.7500 0.5641 1
Al1 Al 0.0071 0.7500 0.0412 1
Al2 Al 0.2500 0.1045 0.6627 1
Cu1 Cu 0.2500 0.2500 0.3255 1
# volume: 22.1 A^3/atom
# DFT formation energy: -0.387 eV per atom

=====

2.
# YAlCu6, optimized geometry, DFT PBE
data_YAlCu6
_space_group_name_H-M_alt 'P m -3'
_space_group_IT_number 200
_space_group_name_Hall '-P 2 2 3'
_cell_length_a 4.8836
_cell_length_b 4.8836
_cell_length_c 4.8836
_cell_angle_alpha 90.00
_cell_angle_beta 90.00
_cell_angle_gamma 90.00
loop_
_atom_site_label
_atom_site_type_symbol
_atom_site_fract_x
_atom_site_fract_y
_atom_site_fract_z
_atom_site_occupancy
Y1 Y 0.0000 0.0000 0.0000 1
Al1 Al 0.5000 0.5000 0.5000 1
Cu1 Cu 0.0000 0.2600 0.5000 1
# volume: 14.6 A^3/atom
# DFT formation energy: -0.037 eV per atom

=====

3.
# Y4Al3Cu, optimized geometry, DFT PBE
data_Y4Al3Cu
_space_group_name_H-M_alt 'P 4/m m m'
_space_group_IT_number 123
_space_group_name_Hall '-P 4 2'
_cell_length_a 3.4523
_cell_length_b 3.4523
_cell_length_c 15.4259
_cell_angle_alpha 90.00
_cell_angle_beta 90.00
_cell_angle_gamma 90.00
loop_
_atom_site_label
_atom_site_type_symbol
_atom_site_fract_x
_atom_site_fract_y
_atom_site_fract_z
_atom_site_occupancy
Y1 Y 0.0000 0.0000 0.1143 1
Y2 Y 0.0000 0.0000 0.3708 1
Al1 Al 0.5000 0.5000 0.2414 1
Al2 Al 0.5000 0.5000 0.5000 1
Cu1 Cu 0.5000 0.5000 0.0000 1
# volume: 23.0 A^3/atom
# DFT formation energy: -0.371 eV per atom

=====

4.
# YAl4Cu4, optimized geometry, DFT PBE
data_YAl4Cu4
_space_group_name_H-M_alt 'I 4/m'
_space_group_IT_number 87
_space_group_name_Hall '-I 4'
_cell_length_a 8.1816
_cell_length_b 8.1816
_cell_length_c 4.3841
_cell_angle_alpha 90.00
_cell_angle_beta 90.00
_cell_angle_gamma 90.00
loop_
_atom_site_label
_atom_site_type_symbol
_atom_site_fract_x
_atom_site_fract_y
_atom_site_fract_z
_atom_site_occupancy
Y1 Y 0.0000 0.0000 0.0000 1
Al1 Al 0.0971 0.3721 0.0000 1
Cu1 Cu 0.1223 0.2225 0.5000 1
# volume: 16.3 A^3/atom
# DFT formation energy: -0.174 eV per atom